1.
PrCuH8Rh2 (PBE-GGA, relaxed); total DFT energy (no corrections) = -4.41 eV/atom; DOS at the Fermi energy = 1.382 states/eV/f.u.; total magnetization = 0.00 Bohr magnetons per cell
1.0
4.740 0.000 0.000
2.370 4.105 0.000
2.370 1.368 5.511
Pr Cu H Rh
1 1 8 2
direct
0.500 0.500 0.500
0.000 0.000 0.000
0.192 0.192 0.423
0.630 0.324 0.137
0.808 0.808 0.577
0.909 0.630 0.137
0.091 0.370 0.863
0.324 0.909 0.137
0.676 0.091 0.863
0.370 0.676 0.863
0.295 0.295 0.115
0.705 0.705 0.885

2.
HgTeHW2 (PBE-GGA, relaxed); total DFT energy (no corrections) = -3.92 eV/atom; DOS at the Fermi energy = 2.133 states/eV/f.u.; total magnetization = 7.34 Bohr magnetons per cell
1.0
-3.963 2.968 -1.460
-2.211 -5.307 -4.788
-2.935 -2.104 3.688
H Te Hg W
1 1 1 2
direct
0.500 0.500 0.500
0.000 0.000 0.000
0.000 0.500 0.000
0.000 0.000 0.500
0.500 0.000 0.000

3.
NaNbHg2 (PBE-GGA, relaxed); DOS at the Fermi energy = 3.157 states/eV/f.u.; DFT formation energy = 0.756 eV/atom; total magnetization = 4.32 Bohr magnetons per cell
1.0
4.536 0.000 0.000
0.000 4.536 0.000
2.268 2.268 9.726
Na Nb Hg
2 2 4
direct
0.500 0.500 0.000
0.250 0.750 0.500
0.000 0.000 0.000
0.750 0.250 0.500
0.631 0.125 0.250
0.119 0.625 0.250
0.375 0.369 0.750
0.875 0.881 0.750

4.
Cr2HgB (PBE-GGA, relaxed); energy above the lowest structure with this stoichiometry = 0 meV/atom; DOS at the Fermi energy = 7.058 states/eV/f.u.; DFT formation energy = 1.085 eV/atom; total magnetization = 0.00 Bohr magnetons per cell
1.0
0.000 2.940 2.940
2.940 0.000 2.940
2.940 2.940 0.000
Cr B Hg
2 1 1
direct
0.250 0.250 0.250
0.750 0.750 0.750
0.000 0.000 0.000
0.500 0.500 0.500

5.
La3AuC (PBE-GGA, relaxed); energy above the lowest structure with this stoichiometry = 102 meV/atom; DOS at the Fermi energy = 4.199 states/eV/f.u.; DFT formation energy = -0.278 eV/atom; total magnetization = 0.00 Bohr magnetons per cell
1.0
15.967 0.000 1.134
6.125 5.193 -3.053
-6.125 5.193 3.053
C Au La
4 4 12
direct
0.750 0.087 0.587
0.250 0.913 0.413
0.750 0.413 0.913
0.250 0.587 0.087
0.361 0.352 0.649
0.139 0.149 0.852
0.639 0.648 0.351
0.861 0.851 0.148
0.624 0.185 0.198
0.876 0.698 0.685
0.376 0.815 0.802
0.124 0.302 0.315
0.884 0.224 0.776
0.616 0.276 0.724
0.116 0.776 0.224
0.384 0.724 0.276
0.876 0.315 0.302
0.624 0.802 0.815
0.124 0.685 0.698
0.376 0.198 0.185

6.
Re2RuPb (PBE-GGA, relaxed); DOS at the Fermi energy = 3.885 states/eV/f.u.; DFT formation energy = 0.623 eV/atom; total magnetization = 0.00 Bohr magnetons per cell
1.0
-3.059 0.072 -2.308
0.667 -2.660 -0.966
-2.917 -4.793 3.718
Pb Re Ru
1 2 1
direct
0.500 0.785 0.736
0.000 0.955 0.054
0.500 0.211 0.238
0.000 0.549 0.472

7.
LiSmYPt (PBE-GGA, relaxed); DOS at the Fermi energy = 3.607 states/eV/f.u.; DFT formation energy = -0.615 eV/atom; total magnetization = 0.00 Bohr magnetons per cell
1.0
5.044 0.000 0.000
2.522 4.368 0.000
2.522 1.456 4.118
Y Sm Pt Li
1 1 1 1
direct
0.500 0.500 0.500
0.000 0.000 0.000
0.750 0.750 0.750
0.250 0.250 0.250

8.
Be2AsCl (PBE-GGA, relaxed); energy above the lowest structure with this stoichiometry = 422 meV/atom; DOS at the Fermi energy = 0.807 states/eV/f.u.; formation energy (no corrections) = 0.008 eV per atom; total magnetization = 0.00 Bohr magnetons per cell
1.0
3.520 0.000 0.000
0.000 3.524 0.000
0.000 0.000 4.699
Be As Cl
2 1 1
direct
0.000 0.000 0.906
0.500 0.500 0.368
0.500 0.500 0.865
0.000 0.000 0.361

9.
FeAg2Mo (PBE-GGA, relaxed); energy above the lowest structure with this stoichiometry = 253 meV/atom; DOS at the Fermi energy = 3.116 states/eV/f.u.; DFT formation energy = 0.556 eV/atom; total magnetization = 1.25 Bohr magnetons per cell
1.0
5.321 0.080 0.071
2.292 4.802 -0.071
-3.190 -3.403 2.563
Ag Fe Mo
2 1 1
direct
0.005 0.005 0.000
0.730 0.230 0.500
0.479 0.479 0.000
0.286 0.786 0.500